This record from Alexandria via LeMat-Bulk describes a relaxed structure of CsCo2AgSb. The functional is PBE.

Summary:
* final energy: -3.695 eV/atom
* ρ: 5.8 Mg/m³

a = 4.979 Å, b = 4.979 Å, c = 5.519 Å
α = 90.00°, β = 90.00°, γ = 90.00°
Space group P4/mmm (No. 123)
One atom of each set of equivalent atoms:
Cs (0.000, 0.000, 0.000) (multiplicity 1)
Co (0.000, 0.500, 0.500) (multiplicity 2)
Ag (0.500, 0.500, 0.000) (multiplicity 1)
Sb (0.500, 0.500, 0.500) (multiplicity 1)

***

This record from Alexandria via LeMat-Bulk describes a relaxed structure of CsCo2TcAg. The functional is PBE.

Summary:
* final energy: -3.425 eV/atom
* energy of formation: 2.232 eV/atom
* ρ: 5.5 Mg/m³

a = 4.848 Å, b = 4.848 Å, c = 5.869 Å
α = 90.00°, β = 90.00°, γ = 90.00°
Space group P4/mmm (No. 123)
One atom of each set of equivalent atoms:
Cs (0.000, 0.000, 0.000) (multiplicity 1)
Co (0.000, 0.500, 0.500) (multiplicity 2)
Tc (0.500, 0.500, 0.000) (multiplicity 1)
Ag (0.000, 0.000, 0.500) (multiplicity 1)

***

This record from Alexandria via LeMat-Bulk describes a relaxed structure of CoCu2Ag. The functional is PBE.

Summary:
* final energy: -4.225 eV/atom
* energy of formation: 0.313 eV/atom
* ρ: 9.2 Mg/m³
* relative energy among the computed polymorphs: 2.77 kcal/mol of atoms

a = 3.773 Å, b = 3.773 Å, c = 7.481 Å
α = 90.00°, β = 90.00°, γ = 90.00°
Space group I-4m2 (No. 119)
One atom of each set of equivalent atoms:
Co (0.000, 0.000, 0.000) (multiplicity 2)
Cu (0.000, 0.000, 0.500) (multiplicity 2)
Cu (0.000, 0.500, 0.750) (multiplicity 2)
Ag (0.000, 0.500, 0.250) (multiplicity 2)

***

This record from Alexandria via LeMat-Bulk describes a relaxed structure of CoCuAg2. The functional is PBE.

Summary:
* final energy: -3.579 eV/atom
* energy of formation: 0.647 eV/atom
* ρ: 8.5 Mg/m³
* relative energy among the computed polymorphs: 9.38 kcal/mol of atoms

a = 3.765 Å, b = 3.765 Å, c = 18.604 Å
α = 90.00°, β = 90.00°, γ = 90.00°
Space group I-42d (No. 122)
One atom of each set of equivalent atoms:
Co (0.000, 0.000, 0.000) (multiplicity 4)
Cu (0.000, 0.000, 0.500) (multiplicity 4)
Ag (0.250, 0.250, 0.125) (multiplicity 8)

***

This record from Alexandria via LeMat-Bulk describes a relaxed structure of CoCuAg2. The functional is PBE.

Summary:
* final energy: -3.917 eV/atom
* energy of formation: 0.309 eV/atom
* ρ: 9.5 Mg/m³
* relative energy among the computed polymorphs: 1.58 kcal/mol of atoms

a = 2.763 Å, b = 2.763 Å, c = 7.766 Å
α = 90.00°, β = 90.00°, γ = 90.00°
Space group P4/mmm (No. 123)
One atom of each set of equivalent atoms:
Co (0.000, 0.000, 0.000) (multiplicity 1)
Cu (0.000, 0.000, 0.500) (multiplicity 1)
Ag (0.500, 0.500, 0.250) (multiplicity 2)

***

This record from Alexandria via LeMat-Bulk describes a relaxed structure of Co2CuAg. The functional is PBE.

Summary:
* final energy: -4.928 eV/atom
* energy of formation: 0.362 eV/atom
* ρ: 9.2 Mg/m³
* relative energy among the computed polymorphs: 3.79 kcal/mol of atoms

a = 3.585 Å, b = 3.636 Å, c = 4.000 Å
α = 90.00°, β = 90.00°, γ = 90.00°
Space group Pmmm (No. 47)
One atom of each set of equivalent atoms:
Co (0.000, 0.000, 0.000) (multiplicity 1)
Co (0.500, 0.500, 0.000) (multiplicity 1)
Cu (0.000, 0.500, 0.500) (multiplicity 1)
Ag (0.500, 0.000, 0.500) (multiplicity 1)

***

This record from Alexandria via LeMat-Bulk describes a relaxed structure of CoCu2Ag. The functional is PBE.

Summary:
* final energy: -4.292 eV/atom
* energy of formation: 0.245 eV/atom
* ρ: 9.1 Mg/m³
* relative energy among the computed polymorphs: 1.22 kcal/mol of atoms

a = 2.6694 Å, b = 2.6694 Å, c = 25.9648 Å
α = 90.00°, β = 90.00°, γ = 120.00°
Space group R3m (No. 160, hexagonal axes)
One atom of each set of equivalent atoms:
Co (0.0000, 0.0000, 0.0000) (multiplicity 3)
Cu (0.0000, 0.0000, 0.4883) (multiplicity 3)
Cu (0.0000, 0.0000, 0.7438) (multiplicity 3)
Ag (0.0000, 0.0000, 0.2443) (multiplicity 3)

***

This record from Alexandria via LeMat-Bulk describes a relaxed structure of CoCu2Ag. The functional is PBE.

Summary:
* final energy: -4.266 eV/atom
* energy of formation: 0.272 eV/atom
* ρ: 9.2 Mg/m³
* relative energy among the computed polymorphs: 1.83 kcal/mol of atoms

a = 5.413 Å, b = 7.457 Å, c = 2.639 Å
α = 90.00°, β = 90.00°, γ = 90.00°
Space group Cmmm (No. 65)
One atom of each set of equivalent atoms:
Co (0.000, 0.000, 0.000) (multiplicity 2)
Cu (0.250, 0.250, 0.500) (multiplicity 4)
Ag (0.000, 0.500, 0.000) (multiplicity 2)

***

This record from Alexandria via LeMat-Bulk describes a relaxed structure of CoCuAg. The functional is PBE.

Summary:
* final energy: -4.286 eV/atom
* energy of formation: 0.398 eV/atom
* ρ: 9.2 Mg/m³
* relative energy among the computed polymorphs: 2.55 kcal/mol of atoms

a = 4.2665 Å, b = 4.2665 Å, c = 2.6388 Å
α = 90.00°, β = 90.00°, γ = 120.00°
Space group P3m1 (No. 156)
One atom of each set of equivalent atoms:
Co (0.0000, 0.0000, 0.0000) (multiplicity 1)
Cu (0.6667, 0.3333, 0.2230) (multiplicity 1)
Ag (0.3333, 0.6667, 0.5968) (multiplicity 1)

***

This record from Alexandria via LeMat-Bulk describes a relaxed structure of Co2CuAg. The functional is PBE.

Summary:
* final energy: -4.814 eV/atom
* energy of formation: 0.476 eV/atom
* ρ: 9.2 Mg/m³
* relative energy among the computed polymorphs: 6.43 kcal/mol of atoms

a = 5.936 Å, b = 5.936 Å, c = 5.936 Å
α = 90.00°, β = 90.00°, γ = 90.00°
Space group Fm-3m (No. 225)
One atom of each set of equivalent atoms:
Co (0.250, 0.250, 0.250) (multiplicity 8)
Cu (0.000, 0.000, 0.000) (multiplicity 4)
Ag (0.000, 0.000, 0.500) (multiplicity 4)

***

This record from Alexandria via LeMat-Bulk describes a relaxed structure of CoCuAg. The functional is PBE.

Summary:
* final energy: -3.930 eV/atom
* energy of formation: 0.754 eV/atom
* ρ: 7.8 Mg/m³
* relative energy among the computed polymorphs: 10.76 kcal/mol of atoms

a = 5.807 Å, b = 5.807 Å, c = 5.807 Å
α = 90.00°, β = 90.00°, γ = 90.00°
Space group F-43m (No. 216)
One atom of each set of equivalent atoms:
Co (0.000, 0.000, 0.000) (multiplicity 4)
Cu (0.250, 0.250, 0.750) (multiplicity 4)
Ag (0.250, 0.250, 0.250) (multiplicity 4)

***

This record from Alexandria via LeMat-Bulk describes a relaxed structure of CoCu2Ag. The functional is PBE.

Summary:
* final energy: -4.206 eV/atom
* energy of formation: 0.332 eV/atom
* ρ: 9.1 Mg/m³
* relative energy among the computed polymorphs: 3.22 kcal/mol of atoms

a = 5.977 Å, b = 5.977 Å, c = 5.977 Å
α = 90.00°, β = 90.00°, γ = 90.00°
Space group Fm-3m (No. 225)
One atom of each set of equivalent atoms:
Co (0.000, 0.000, 0.000) (multiplicity 4)
Cu (0.250, 0.250, 0.250) (multiplicity 8)
Ag (0.000, 0.000, 0.500) (multiplicity 4)

***

Question: Among the records above, which one has the lowest ρ?
Answer: CsCo2TcAg